A relaxed structure of NiH8I2O10. Source: Alexandria, functional PBE+U.

## Properties
E_tot	-198.979	eV for the cell shown
magnetic moment	2.0	μB per formula unit

a b c (Å): 6.5984 8.3336 8.5279
angles (deg): 80.85 90.00 90.00
With the nearest neighbours (Å) after each atom.
Fractional positions:
1 O 0.4090 0.0706 0.7055  2 H 0.99-1.00
2 O 0.9056 0.7642 0.1059  2 H 0.99-1.00
3 O 0.9090 0.9294 0.7945  2 H 0.99-1.00
4 O 0.2183 0.8884 0.4722  1 H 1.68, 1 I 1.85
5 O 0.0910 0.0706 0.2055  2 H 0.99-1.00
6 O 0.8799 0.3393 0.2629  1 H 1.77, 1 I 1.83
7 O 0.7817 0.1116 0.5278  1 H 1.68, 1 I 1.85
8 O 0.0944 0.2358 0.8941  2 H 0.99-1.00
9 O 0.6201 0.3393 0.7629  1 H 1.77, 1 I 1.83
10 O 0.3799 0.6607 0.2371  1 H 1.77, 1 I 1.83
11 O 0.5779 0.6625 0.9431  2 H 1.78-1.90, 1 I 1.85
12 O 0.9221 0.6625 0.4431  2 H 1.78-1.90, 1 I 1.85
13 O 0.5910 0.9294 0.2945  2 H 0.99-1.00
14 O 0.4056 0.2358 0.3941  2 H 0.99-1.00
15 O 0.7183 0.1116 0.0278  1 H 1.68, 1 I 1.85
16 O 0.4221 0.3375 0.0569  2 H 1.78-1.90, 1 I 1.85
17 O 0.0779 0.3375 0.5569  2 H 1.78-1.90, 1 I 1.85
18 O 0.5944 0.7642 0.6059  2 H 0.99-1.00
19 O 0.2817 0.8884 0.9722  1 H 1.68, 1 I 1.85
20 O 0.1201 0.6607 0.7371  1 H 1.77, 1 I 1.83
21 H 0.7807 0.7297 0.0542  1 O 1.00
22 H 0.8874 0.7398 0.2226  1 O 0.99
23 H 0.6126 0.7398 0.7226  1 O 0.99
24 H 0.3874 0.2602 0.2774  1 O 0.99
25 H 0.4953 0.1575 0.7374  1 O 0.99
26 H 0.8752 0.0068 0.6962  1 O 1.00
27 H 0.2193 0.2703 0.9458  1 O 1.00
28 H 0.7193 0.7297 0.5542  1 O 1.00
29 H 0.3752 0.9932 0.8038  1 O 1.00
30 H 0.1126 0.2602 0.7774  1 O 0.99
31 H 0.9953 0.8425 0.7626  1 O 0.99
32 H 0.0047 0.1575 0.2374  1 O 0.99
33 H 0.2807 0.2703 0.4458  1 O 1.00
34 H 0.6248 0.0068 0.1962  1 O 1.00
35 H 0.5047 0.8425 0.2626  1 O 0.99
36 H 0.1248 0.9932 0.3038  1 O 1.00
37 I 0.3201 0.6672 0.0269  3 O 1.83-1.85
38 I 0.6799 0.3328 0.9731  3 O 1.83-1.85
39 I 0.1799 0.6672 0.5269  3 O 1.83-1.85
40 I 0.8201 0.3328 0.4731  3 O 1.83-1.85
41 Ni 0.5000 0.0000 0.5000  6 O 2.03-2.12
42 Ni 0.0000 0.0000 0.0000  6 O 2.03-2.12